Record 1
## Nd2H2Br3Cl (PBE-GGA)

Data for Nd2H2Br3Cl after structural relaxation.

Cell and atoms, written as POSCAR:
```
Nd2H2Br3Cl
1.0
3.983 0.000 0.000
-1.991 3.449 0.000
0.000 0.000 14.762
Br Cl H Nd
3 1 2 2
direct
0.667 0.333 0.117
0.667 0.333 0.382
0.333 0.667 0.622
0.333 0.667 0.873
0.333 0.667 0.250
0.667 0.333 0.752
0.000 0.000 0.250
0.000 0.000 0.754
```

Values from the calculation:
DFT total energy = -35.9 eV for the cell shown



Record 2
## NdHBrCl (PBE-GGA)

Data for NdHBrCl after structural relaxation.

Cell and atoms, written as POSCAR:
```
NdHBrCl
1.0
-2.837 -2.744 -0.291
2.701 -0.244 2.882
-8.496 7.868 8.631
Br Cl H Nd
2 2 2 2
direct
0.667 0.333 0.119
0.333 0.667 0.881
0.667 0.333 0.376
0.333 0.667 0.624
0.333 0.667 0.253
0.667 0.333 0.747
0.000 0.000 0.254
0.000 0.000 0.746
```

Values from the calculation:
DFT total energy = -36.5 eV for the cell shown